# 1
Compound: HfSb2AuF
Source: Alexandria via LeMat-Bulk
Functional: PBE-GGA
Structure: optimized geometry

```
HfSb2AuF
1.0
-4.473 -0.029 -1.283
0.146 -4.862 -0.400
-1.275 -0.405 4.457
Hf F Au Sb
1 1 1 2
Direct
0.500 0.500 0.500
0.000 0.000 0.000
0.000 0.500 0.000
0.000 0.000 0.500
0.500 0.000 0.000
```

# 2
Compound: Sc2SbOs
Source: Alexandria via LeMat-Bulk
Functional: PBE-GGA
Structure: optimized geometry

```
Sc2SbOs
1.0
-5.505 -2.736 -1.184
-3.967 -2.689 -4.027
0.350 -4.535 0.114
Os Sb Sc
1 1 2
Direct
0.498 0.498 0.502
0.200 0.200 0.300
0.005 0.005 0.995
0.797 0.797 0.703
```

# 3
Compound: Pr5Dy3Te8
Source: Alexandria via LeMat-Bulk
Functional: PBE-GGA
Structure: optimized geometry

```
Pr5Dy3Te8
1.0
7.694 0.000 4.407
2.585 7.247 4.407
-0.048 -0.034 9.003
Pr Dy Te
5 3 8
Direct
0.500 0.000 0.000
0.500 0.500 0.000
0.000 0.000 0.000
0.000 0.500 0.000
0.500 0.500 0.500
0.500 0.000 0.500
0.000 0.000 0.500
0.000 0.500 0.500
0.250 0.250 0.740
0.250 0.760 0.740
0.760 0.250 0.740
0.755 0.755 0.735
0.750 0.750 0.260
0.750 0.240 0.260
0.240 0.750 0.260
0.245 0.245 0.265
```

no.,density of states at the Fermi level (states/eV per cell),VASP energy (eV per atom),ΔE_f (raw) (eV per atom)
1,2.58,-4.773,-0.10
2,3.04,-7.438,-0.43
3,11.69,-5.304,-1.38